A plane-wave DFT calculation with GGA-PBEsol was carried out for crystalline CaSb2O6 at its relaxed geometry.

Geometry as CIF:
```
data_CaSb2O6
_chemical_formula_sum 'Ca1 Sb2 O6'
_space_group_name_H-M_alt 'P -3 1 m'
_space_group_IT_number 162
_space_group_name_Hall '-P 3 2'
_cell_length_a 5.2702
_cell_length_b 5.2702
_cell_length_c 5.0184
_cell_angle_alpha 90.00
_cell_angle_beta 90.00
_cell_angle_gamma 120.00
loop_
_atom_site_label
_atom_site_type_symbol
_atom_site_fract_x
_atom_site_fract_y
_atom_site_fract_z
Ca1 Ca 0.0000 0.0000 0.0000
Sb1 Sb 0.3333 0.6667 0.5000
O1 O 0.0000 0.3674 0.2804
```

Output
* total magnetization: 0.00 μB/atom



A plane-wave DFT calculation with GGA-PBEsol was carried out for crystalline Sr2CaSbO6 at its relaxed geometry.

Geometry as CIF:
```
data_Sr2CaSbO6
_chemical_formula_sum 'Sr4 Ca2 Sb2 O12'
_space_group_name_H-M_alt 'P 1 21/c 1'
_space_group_IT_number 14
_cell_length_a 5.8067
_cell_length_b 5.9423
_cell_length_c 10.0779
_cell_angle_alpha 90.00
_cell_angle_beta 125.00
_cell_angle_gamma 90.00
loop_
_space_group_symop_operation_xyz
'x,y,z'
'-x,-y,-z'
'-x,y+1/2,-z+1/2'
'x,-y+1/2,z+1/2'
loop_
_atom_site_label
_atom_site_type_symbol
_atom_site_fract_x
_atom_site_fract_y
_atom_site_fract_z
Sr1 Sr 0.2351 0.0451 0.2482
Ca1 Ca 0.0000 0.0000 0.5000
Sb1 Sb 0.5000 0.0000 0.0000
O1 O 0.1844 0.1938 0.9577
O2 O 0.2578 0.7297 0.9476
O3 O 0.3580 0.0326 0.7683
```

Output
* total magnetization: 0.11 μB/atom



A plane-wave DFT calculation with GGA-PBEsol was carried out for crystalline CaSbTe2O at its relaxed geometry.

Geometry as CIF:
```
data_CaSbTe2O
_chemical_formula_sum 'Ca1 Sb1 Te2 O1'
_space_group_name_H-M_alt 'P 4/m m m'
_space_group_IT_number 123
_space_group_name_Hall '-P 4 2'
_cell_length_a 4.9303
_cell_length_b 4.9303
_cell_length_c 4.6950
_cell_angle_alpha 90.00
_cell_angle_beta 90.00
_cell_angle_gamma 90.00
loop_
_atom_site_label
_atom_site_type_symbol
_atom_site_fract_x
_atom_site_fract_y
_atom_site_fract_z
Ca1 Ca 0.0000 0.0000 0.0000
Sb1 Sb 0.5000 0.5000 0.0000
Te1 Te 0.0000 0.5000 0.5000
O1 O 0.5000 0.5000 0.5000
```

Output
* total magnetization: 0.00 μB/atom



A plane-wave DFT calculation with GGA-PBEsol was carried out for crystalline CaSc2O at its relaxed geometry.

Geometry as CIF:
```
data_CaSc2O
_chemical_formula_sum 'Ca3 Sc6 O3'
_space_group_name_H-M_alt 'R -3 m'
_space_group_IT_number 166
_space_group_name_Hall '-R 3 2"'
_cell_length_a 3.5533
_cell_length_b 3.5533
_cell_length_c 28.4202
_cell_angle_alpha 90.00
_cell_angle_beta 90.00
_cell_angle_gamma 120.00
loop_
_atom_site_label
_atom_site_type_symbol
_atom_site_fract_x
_atom_site_fract_y
_atom_site_fract_z
Ca1 Ca 0.0000 0.0000 0.0000
Sc1 Sc 0.0000 0.0000 0.4348
O1 O 0.0000 0.0000 0.5000
```

Output
* total magnetization: 0.00 μB/atom



A plane-wave DFT calculation with GGA-PBEsol was carried out for crystalline Ca2ScTaO6 at its relaxed geometry.

Geometry as CIF:
```
data_Ca2ScTaO6
_chemical_formula_sum 'Ca4 Sc2 Ta2 O12'
_space_group_name_H-M_alt 'P 1 21/c 1'
_space_group_IT_number 14
_cell_length_a 5.4704
_cell_length_b 5.6453
_cell_length_c 9.5484
_cell_angle_alpha 90.00
_cell_angle_beta 124.89
_cell_angle_gamma 90.00
loop_
_space_group_symop_operation_xyz
'x,y,z'
'-x,-y,-z'
'-x,y+1/2,-z+1/2'
'x,-y+1/2,z+1/2'
loop_
_atom_site_label
_atom_site_type_symbol
_atom_site_fract_x
_atom_site_fract_y
_atom_site_fract_z
Ca1 Ca 0.2350 0.0517 0.2484
Sc1 Sc 0.0000 0.0000 0.5000
Ta1 Ta 0.5000 0.0000 0.0000
O1 O 0.1573 0.1966 0.9498
O2 O 0.2514 0.7102 0.9451
O3 O 0.3562 0.0346 0.7568
```

Output
* total magnetization: 0.00 μB/atom



A plane-wave DFT calculation with GGA-PBEsol was carried out for crystalline CaSeO3 at its relaxed geometry.

Geometry as CIF:
```
data_CaSeO3
_chemical_formula_sum 'Ca1 Se1 O3'
_space_group_name_H-M_alt 'P m -3 m'
_space_group_IT_number 221
_space_group_name_Hall '-P 4 2 3'
_cell_length_a 3.9462
_cell_length_b 3.9462
_cell_length_c 3.9462
_cell_angle_alpha 90.00
_cell_angle_beta 90.00
_cell_angle_gamma 90.00
loop_
_atom_site_label
_atom_site_type_symbol
_atom_site_fract_x
_atom_site_fract_y
_atom_site_fract_z
Ca1 Ca 0.0000 0.0000 0.0000
Se1 Se 0.5000 0.5000 0.5000
O1 O 0.0000 0.5000 0.5000
```

Output
* total magnetization: 0.00 μB/atom



A plane-wave DFT calculation with GGA-PBEsol was carried out for crystalline CaSeO2 at its relaxed geometry.

Geometry as CIF:
```
data_CaSeO2
_chemical_formula_sum 'Ca4 Se4 O8'
_space_group_name_H-M_alt 'I -4 2 d'
_space_group_IT_number 122
_space_group_name_Hall 'I -4 2bw'
_cell_length_a 4.4743
_cell_length_b 4.4743
_cell_length_c 12.7036
_cell_angle_alpha 90.00
_cell_angle_beta 90.00
_cell_angle_gamma 90.00
loop_
_atom_site_label
_atom_site_type_symbol
_atom_site_fract_x
_atom_site_fract_y
_atom_site_fract_z
Ca1 Ca 0.0000 0.0000 0.0000
Se1 Se 0.0000 0.0000 0.5000
O1 O 0.2126 0.2500 0.6250
```

Output
* total magnetization: 0.00 μB/atom



A plane-wave DFT calculation with GGA-PBEsol was carried out for crystalline CaSeO2 at its relaxed geometry.

Geometry as CIF:
```
data_CaSeO2
_chemical_formula_sum 'Ca3 Se3 O6'
_space_group_name_H-M_alt 'R -3 m'
_space_group_IT_number 166
_space_group_name_Hall '-R 3 2"'
_cell_length_a 3.6897
_cell_length_b 3.6897
_cell_length_c 17.0734
_cell_angle_alpha 90.00
_cell_angle_beta 90.00
_cell_angle_gamma 120.00
loop_
_atom_site_label
_atom_site_type_symbol
_atom_site_fract_x
_atom_site_fract_y
_atom_site_fract_z
Ca1 Ca 0.0000 0.0000 0.0000
Se1 Se 0.0000 0.0000 0.5000
O1 O 0.0000 0.0000 0.1257
```

Output
* total magnetization: 0.00 μB/atom



A plane-wave DFT calculation with GGA-PBEsol was carried out for crystalline Ca3SeO at its relaxed geometry.

Geometry as CIF:
```
data_Ca3SeO
_chemical_formula_sum 'Ca3 Se1 O1'
_space_group_name_H-M_alt 'P m -3 m'
_space_group_IT_number 221
_space_group_name_Hall '-P 4 2 3'
_cell_length_a 4.7194
_cell_length_b 4.7194
_cell_length_c 4.7194
_cell_angle_alpha 90.00
_cell_angle_beta 90.00
_cell_angle_gamma 90.00
loop_
_atom_site_label
_atom_site_type_symbol
_atom_site_fract_x
_atom_site_fract_y
_atom_site_fract_z
Ca1 Ca 0.0000 0.0000 0.5000
Se1 Se 0.5000 0.5000 0.5000
O1 O 0.0000 0.0000 0.0000
```

Output
* total magnetization: 0.00 μB/atom



Energy relative to the elements, uncorrected for the records above, in order: -1.933; -2.358; -0.588; -0.951; -3.256; -1.505; -1.200; -0.667; -1.571 eV per atom